Record 1
DFT (PBE-GGA) results for an optimized crystal structure of SbP2PbO.

Properties
* relative energy among the computed polymorphs: 0.000 eV/f.u.
* raw formation energy: 16.9 kJ/mol of atoms
* calculated volume: 107 Å³/cell

Lattice parameters (Å, degrees): 5.1738 5.1738 3.9975 90.00 90.00 90.00
Closest atoms and distances in Å follow each position.
Space group P4/mmm (No. 123)
Unique sites:
1 Sb 0.0000 0.0000 0.0000 [1 per cell]  2 O 2.00
2 P 0.0000 0.5000 0.0000 [2 per cell]  2 Sb 2.59
3 Pb 0.5000 0.5000 0.5000 [1 per cell]  8 P 3.27, 4 O 3.66
4 O 0.0000 0.0000 0.5000 [1 per cell]  2 Sb 2.00

---

Record 2
DFT (PBE-GGA) results for an optimized crystal structure of KBa3Sn8.

Properties
* ΔE_f: -0.46 eV/atom
* calculated volume: 388 Å³/cell

Lattice parameters (Å, degrees): 6.5185 6.5185 10.5447 90.00 90.00 120.00
Closest atoms and distances in Å follow each position.
Space group P3m1 (No. 156)
Unique sites:
1 K 0.0000 0.0000 0.0000 [1 per cell]  12 Sn 3.79-3.81, 4 Ba 3.84-3.99
2 Ba 0.0000 0.0000 0.3638 [1 per cell]  12 Sn 3.76-3.87, 1 K 3.84, 3 Ba 4.03
3 Ba 0.6667 0.3333 0.5009 [1 per cell]  12 Sn 3.78-3.82, 4 Ba 3.93-4.03
4 Ba 0.6667 0.3333 0.8738 [1 per cell]  12 Sn 3.76-3.84, 1 Ba 3.93, 3 K 3.99
5 Sn 0.1630 0.3260 0.6863 [3 per cell]  6 Sn 3.19-3.35
6 Sn 0.3333 0.6667 0.4406 [1 per cell]  6 Sn 3.23-3.32
7 Sn 0.3333 0.6667 0.9470 [1 per cell]  6 Sn 3.19-3.35
8 Sn 0.5064 0.0128 0.1866 [3 per cell]  6 Sn 3.13-3.38

---

Record 3
DFT (PBE-GGA) results for an optimized crystal structure of Ba2InBiCl.

Properties
* raw formation energy: -76.5 kJ/mol of atoms
* calculated volume: 201 Å³/cell

Lattice parameters (Å, degrees): 6.0361 6.0361 5.5213 90.00 90.00 90.00
Closest atoms and distances in Å follow each position.
Space group P4/mmm (No. 123)
Unique sites:
1 Ba 0.0000 0.5000 0.0000 [2 per cell]  2 Cl 3.02
2 In 0.0000 0.0000 0.5000 [1 per cell]  2 Cl 2.76
3 Bi 0.5000 0.5000 0.5000 [1 per cell]  8 Ba 4.09, 4 In 4.27
4 Cl 0.0000 0.0000 0.0000 [1 per cell]  2 In 2.76, 4 Ba 3.02